[1]
{
  "formula": "Na2YNbOs",
  "functional": "PBE",
  "state": "optimized geometry",
  "spacegroup": "P4/mmm",
  "ef_ev_per_atom": 1.198,
  "cell": [[5.2714, 0.0000, 0.0000], [0.0000, 5.2714, 0.0000], [0.0000, 0.0000, 4.7156]],
  "species": ["Na", "Na", "Y", "Nb", "Os"],
  "frac_coords": [[0.0000, 0.5000, 0.0000], [0.5000, 0.0000, 0.0000], [0.0000, 0.0000, 0.5000], [0.5000, 0.5000, 0.0000], [0.5000, 0.5000, 0.5000]]
}

---

[2]
{
  "formula": "NaNbP3",
  "functional": "PBE",
  "state": "optimized geometry",
  "spacegroup": "Pm-3m",
  "ef_ev_per_atom": 1.585,
  "relative_energy_kj_per_mol_fu": 758.1,
  "cell": [[4.6191, 0.0000, 0.0000], [0.0000, 4.6191, 0.0000], [0.0000, 0.0000, 4.6191]],
  "species": ["Na", "Nb", "P", "P", "P"],
  "frac_coords": [[0.0000, 0.0000, 0.0000], [0.5000, 0.5000, 0.5000], [0.0000, 0.0000, 0.5000], [0.0000, 0.5000, 0.0000], [0.5000, 0.0000, 0.0000]]
}

---

[3]
{
  "formula": "Na2NbP2",
  "functional": "PBE",
  "state": "optimized geometry",
  "spacegroup": "P4/mbm",
  "ef_ev_per_atom": -0.166,
  "cell": [[6.5121, 0.0000, 0.0000], [0.0000, 6.5121, 0.0000], [0.0000, 0.0000, 4.7174]],
  "species": ["Na", "Na", "Na", "Na", "Nb", "Nb", "P", "P", "P", "P"],
  "frac_coords": [[0.1758, 0.3242, 0.0000], [0.3242, 0.8242, 0.0000], [0.6758, 0.1758, 0.0000], [0.8242, 0.6758, 0.0000], [0.0000, 0.0000, 0.5000], [0.5000, 0.5000, 0.5000], [0.1262, 0.6262, 0.5000], [0.3738, 0.1262, 0.5000], [0.6262, 0.8738, 0.5000], [0.8738, 0.3738, 0.5000]]
}

---

[4]
{
  "formula": "NaNbP3",
  "functional": "PBE",
  "state": "optimized geometry",
  "spacegroup": "Pm-3m",
  "ef_ev_per_atom": 0.014,
  "relative_energy_kj_per_mol_fu": 0.0,
  "cell": [[4.8633, 0.0000, 0.0000], [0.0000, 4.8633, 0.0000], [0.0000, 0.0000, 4.8633]],
  "species": ["Na", "Nb", "P", "P", "P"],
  "frac_coords": [[0.0000, 0.0000, 0.0000], [0.5000, 0.5000, 0.5000], [0.0000, 0.5000, 0.5000], [0.5000, 0.0000, 0.5000], [0.5000, 0.5000, 0.0000]]
}

---

[5]
{
  "formula": "Na2NbP",
  "functional": "PBE",
  "state": "optimized geometry",
  "spacegroup": "I-42d",
  "ef_ev_per_atom": 0.432,
  "cell": [[-4.8986, 4.8986, 2.4462], [4.8986, -4.8986, 2.4462], [4.8986, 4.8986, -2.4462]],
  "species": ["Na", "Na", "Na", "Na", "Nb", "Nb", "P", "P"],
  "frac_coords": [[0.0060, 0.6250, 0.8810], [0.3750, 0.2560, 0.3810], [0.7440, 0.1250, 0.1190], [0.8750, 0.9940, 0.6190], [0.2500, 0.7500, 0.5000], [0.5000, 0.5000, 0.0000], [0.0000, 0.0000, 0.0000], [0.7500, 0.2500, 0.5000]]
}

---

[6]
{
  "formula": "NaNb2P2",
  "functional": "PBE",
  "state": "optimized geometry",
  "spacegroup": "I4/mmm",
  "ef_ev_per_atom": -0.145,
  "relative_energy_kj_per_mol_fu": 166.5,
  "cell": [[-2.3596, 2.3596, 4.4437], [2.3596, -2.3596, 4.4437], [2.3596, 2.3596, -4.4437]],
  "species": ["Na", "Nb", "Nb", "P", "P"],
  "frac_coords": [[0.0000, 0.0000, 0.0000], [0.3546, 0.3546, 0.0000], [0.6454, 0.6454, 0.0000], [0.2500, 0.7500, 0.5000], [0.7500, 0.2500, 0.5000]]
}

---

[7]
{
  "formula": "NaNb2P",
  "functional": "PBE",
  "state": "optimized geometry",
  "spacegroup": "I-42d",
  "ef_ev_per_atom": 0.683,
  "cell": [[-2.4043, 2.4043, 9.0582], [2.4043, -2.4043, 9.0582], [2.4043, 2.4043, -9.0582]],
  "species": ["Na", "Na", "Nb", "Nb", "Nb", "Nb", "P", "P"],
  "frac_coords": [[0.0000, 0.0000, 0.0000], [0.7500, 0.2500, 0.5000], [0.3621, 0.6250, 0.2371], [0.3750, 0.6121, 0.7371], [0.3879, 0.1250, 0.7629], [0.8750, 0.6379, 0.2629], [0.2500, 0.7500, 0.5000], [0.5000, 0.5000, 0.0000]]
}

---

[8]
{
  "formula": "NaNb2P2",
  "functional": "PBE",
  "state": "optimized geometry",
  "spacegroup": "P4/mbm",
  "ef_ev_per_atom": -0.491,
  "relative_energy_kj_per_mol_fu": 0.0,
  "cell": [[7.0911, 0.0000, 0.0000], [0.0000, 7.0911, 0.0000], [0.0000, 0.0000, 3.2514]],
  "species": ["Na", "Na", "Nb", "Nb", "Nb", "Nb", "P", "P", "P", "P"],
  "frac_coords": [[0.0000, 0.0000, 0.0000], [0.5000, 0.5000, 0.0000], [0.1466, 0.3534, 0.5000], [0.3534, 0.8534, 0.5000], [0.6466, 0.1466, 0.5000], [0.8534, 0.6466, 0.5000], [0.1413, 0.6413, 0.0000], [0.3587, 0.1413, 0.0000], [0.6413, 0.8587, 0.0000], [0.8587, 0.3587, 0.0000]]
}

---

[9]
{
  "formula": "RbNa2NbP",
  "functional": "PBE",
  "state": "optimized geometry",
  "spacegroup": "P4/mmm",
  "ef_ev_per_atom": 1.556,
  "cell": [[5.8935, 0.0000, 0.0000], [0.0000, 5.8935, 0.0000], [0.0000, 0.0000, 6.4391]],
  "species": ["Rb", "Na", "Na", "Nb", "P"],
  "frac_coords": [[0.0000, 0.0000, 0.0000], [0.0000, 0.5000, 0.5000], [0.5000, 0.0000, 0.5000], [0.0000, 0.0000, 0.5000], [0.5000, 0.5000, 0.0000]]
}

---

[10]
{
  "formula": "NaNbP2S8",
  "functional": "PBE",
  "state": "optimized geometry",
  "raw_formation_energy_mev_per_atom": -408,
  "spacegroup": "R-3",
  "cell": [[3.0062, 1.7357, 9.0087], [-3.0062, 1.7357, 9.0087], [0.0000, -3.4713, 9.0087]],
  "species": ["Na", "Nb", "P", "P", "S", "S", "S", "S", "S", "S", "S", "S"],
  "frac_coords": [[0.0000, 0.0000, 0.0000], [0.5000, 0.5000, 0.5000], [0.2426, 0.2426, 0.2426], [0.7574, 0.7574, 0.7574], [0.1102, 0.7880, 0.4478], [0.2120, 0.5522, 0.8898], [0.3155, 0.3155, 0.3155], [0.4478, 0.1102, 0.7880], [0.5522, 0.8898, 0.2120], [0.6845, 0.6845, 0.6845], [0.7880, 0.4478, 0.1102], [0.8898, 0.2120, 0.5522]]
}

---

[11]
{
  "formula": "NaNbP2Se8",
  "functional": "PBE",
  "state": "optimized geometry",
  "raw_formation_energy_mev_per_atom": -269,
  "spacegroup": "P-3",
  "cell": [[6.3673, 0.0000, 0.0000], [-3.1836, 5.5142, 0.0000], [0.0000, 0.0000, 9.3034]],
  "species": ["Na", "Nb", "P", "P", "Se", "Se", "Se", "Se", "Se", "Se", "Se", "Se"],
  "frac_coords": [[0.0000, 0.0000, 0.0000], [0.0000, 0.0000, 0.5000], [0.3333, 0.6667, 0.7292], [0.6667, 0.3333, 0.2708], [0.0162, 0.6734, 0.3424], [0.3266, 0.3428, 0.3424], [0.3333, 0.6667, 0.9595], [0.3428, 0.0162, 0.6576], [0.6572, 0.9838, 0.3424], [0.6667, 0.3333, 0.0405], [0.6734, 0.6572, 0.6576], [0.9838, 0.3266, 0.6576]]
}

---

[12]
{
  "formula": "NaNbTlP2",
  "functional": "PBE",
  "state": "optimized geometry",
  "spacegroup": "P4/mmm",
  "ef_ev_per_atom": 0.272,
  "cell": [[4.8351, 0.0000, 0.0000], [0.0000, 4.8351, 0.0000], [0.0000, 0.0000, 5.7935]],
  "species": ["Na", "Nb", "Tl", "P", "P"],
  "frac_coords": [[0.0000, 0.0000, 0.0000], [0.0000, 0.0000, 0.5000], [0.5000, 0.5000, 0.0000], [0.0000, 0.5000, 0.5000], [0.5000, 0.0000, 0.5000]]
}

---

[13]
{
  "formula": "Na2NbPb",
  "functional": "PBE",
  "state": "optimized geometry",
  "spacegroup": "I-42d",
  "ef_ev_per_atom": 0.784,
  "cell": [[-4.3318, 4.3318, 2.9196], [4.3318, -4.3318, 2.9196], [4.3318, 4.3318, -2.9196]],
  "species": ["Na", "Na", "Na", "Na", "Nb", "Nb", "Pb", "Pb"],
  "frac_coords": [[0.1171, 0.6250, 0.9921], [0.3750, 0.3671, 0.4921], [0.6329, 0.1250, 0.0079], [0.8750, 0.8829, 0.5079], [0.2500, 0.7500, 0.5000], [0.5000, 0.5000, 0.0000], [0.0000, 0.0000, 0.0000], [0.7500, 0.2500, 0.5000]]
}

---

[14]
{
  "formula": "NaNb3Pb",
  "functional": "PBE",
  "state": "optimized geometry",
  "spacegroup": "Pm-3m",
  "ef_ev_per_atom": 1.816,
  "relative_energy_kj_per_mol_fu": 0.0,
  "cell": [[4.7466, 0.0000, 0.0000], [0.0000, 4.7466, 0.0000], [0.0000, 0.0000, 4.7466]],
  "species": ["Na", "Nb", "Nb", "Nb", "Pb"],
  "frac_coords": [[0.0000, 0.0000, 0.0000], [0.0000, 0.0000, 0.5000], [0.0000, 0.5000, 0.0000], [0.5000, 0.0000, 0.0000], [0.5000, 0.5000, 0.5000]]
}

---

[15]
{
  "formula": "Na3NbPb",
  "functional": "PBE",
  "state": "optimized geometry",
  "spacegroup": "Pm-3m",
  "ef_ev_per_atom": 1.113,
  "relative_energy_kj_per_mol_fu": 0.0,
  "cell": [[5.7572, 0.0000, 0.0000], [0.0000, 5.7572, 0.0000], [0.0000, 0.0000, 5.7572]],
  "species": ["Na", "Na", "Na", "Nb", "Pb"],
  "frac_coords": [[0.0000, 0.0000, 0.5000], [0.0000, 0.5000, 0.0000], [0.5000, 0.0000, 0.0000], [0.5000, 0.5000, 0.5000], [0.0000, 0.0000, 0.0000]]
}

---

[16]
{
  "formula": "Na3NbPb",
  "functional": "PBE",
  "state": "optimized geometry",
  "spacegroup": "Pm-3m",
  "ef_ev_per_atom": 1.212,
  "relative_energy_kj_per_mol_fu": 47.8,
  "cell": [[5.7501, 0.0000, 0.0000], [0.0000, 5.7501, 0.0000], [0.0000, 0.0000, 5.7501]],
  "species": ["Na", "Na", "Na", "Nb", "Pb"],
  "frac_coords": [[0.0000, 0.0000, 0.5000], [0.0000, 0.5000, 0.0000], [0.5000, 0.0000, 0.0000], [0.0000, 0.0000, 0.0000], [0.5000, 0.5000, 0.5000]]
}

---

[17]
{
  "formula": "NaNbPb2",
  "functional": "PBE",
  "state": "optimized geometry",
  "spacegroup": "I-42d",
  "ef_ev_per_atom": 0.703,
  "cell": [[-2.4373, 2.4373, 9.9227], [2.4373, -2.4373, 9.9227], [2.4373, 2.4373, -9.9227]],
  "species": ["Na", "Na", "Nb", "Nb", "Pb", "Pb", "Pb", "Pb"],
  "frac_coords": [[0.0000, 0.0000, 0.0000], [0.7500, 0.2500, 0.5000], [0.2500, 0.7500, 0.5000], [0.5000, 0.5000, 0.0000], [0.1628, 0.6250, 0.0378], [0.3750, 0.4128, 0.5378], [0.5872, 0.1250, 0.9622], [0.8750, 0.8372, 0.4622]]
}

---

[18]
{
  "formula": "NaNbPb3",
  "functional": "PBE",
  "state": "optimized geometry",
  "spacegroup": "Pm-3m",
  "ef_ev_per_atom": 0.245,
  "relative_energy_kj_per_mol_fu": 0.0,
  "cell": [[5.5589, 0.0000, 0.0000], [0.0000, 5.5589, 0.0000], [0.0000, 0.0000, 5.5589]],
  "species": ["Na", "Nb", "Pb", "Pb", "Pb"],
  "frac_coords": [[0.0000, 0.0000, 0.0000], [0.5000, 0.5000, 0.5000], [0.0000, 0.5000, 0.5000], [0.5000, 0.0000, 0.5000], [0.5000, 0.5000, 0.0000]]
}

---

[19]
{
  "formula": "NaNb3Pb",
  "functional": "PBE",
  "state": "optimized geometry",
  "spacegroup": "Pm-3m",
  "ef_ev_per_atom": 1.944,
  "relative_energy_kj_per_mol_fu": 61.7,
  "cell": [[5.2571, 0.0000, 0.0000], [0.0000, 5.2571, 0.0000], [0.0000, 0.0000, 5.2571]],
  "species": ["Na", "Nb", "Nb", "Nb", "Pb"],
  "frac_coords": [[0.0000, 0.0000, 0.0000], [0.0000, 0.5000, 0.5000], [0.5000, 0.0000, 0.5000], [0.5000, 0.5000, 0.0000], [0.5000, 0.5000, 0.5000]]
}

---

[20]
{
  "formula": "NaNb2Pb",
  "functional": "PBE",
  "state": "optimized geometry",
  "spacegroup": "I-42d",
  "ef_ev_per_atom": 0.996,
  "cell": [[-4.0313, 4.0313, 2.7831], [4.0313, -4.0313, 2.7831], [4.0313, 4.0313, -2.7831]],
  "species": ["Na", "Na", "Nb", "Nb", "Nb", "Nb", "Pb", "Pb"],
  "frac_coords": [[0.0000, 0.0000, 0.0000], [0.7500, 0.2500, 0.5000], [0.1405, 0.6250, 0.0155], [0.3750, 0.3905, 0.5155], [0.6095, 0.1250, 0.9845], [0.8750, 0.8595, 0.4845], [0.2500, 0.7500, 0.5000], [0.5000, 0.5000, 0.0000]]
}

---

[21]
{
  "formula": "NaNbPb2",
  "functional": "PBE",
  "state": "optimized geometry",
  "spacegroup": "R-3m",
  "ef_ev_per_atom": 0.480,
  "cell": [[1.6341, 0.9434, 11.3291], [-1.6341, 0.9434, 11.3291], [0.0000, -1.8869, 11.3291]],
  "species": ["Na", "Nb", "Pb", "Pb"],
  "frac_coords": [[0.0000, 0.0000, 0.0000], [0.5000, 0.5000, 0.5000], [0.4150, 0.4150, 0.4150], [0.5850, 0.5850, 0.5850]]
}

---

[22]
{
  "formula": "RbNaNb2Pb",
  "functional": "PBE",
  "state": "optimized geometry",
  "spacegroup": "P4/mmm",
  "ef_ev_per_atom": 1.835,
  "cell": [[5.5661, 0.0000, 0.0000], [0.0000, 5.5661, 0.0000], [0.0000, 0.0000, 5.5067]],
  "species": ["Rb", "Na", "Nb", "Nb", "Pb"],
  "frac_coords": [[0.0000, 0.0000, 0.0000], [0.5000, 0.5000, 0.5000], [0.0000, 0.5000, 0.5000], [0.5000, 0.0000, 0.5000], [0.5000, 0.5000, 0.0000]]
}

---

[23]
{
  "formula": "NaNbRh2Pb",
  "functional": "PBE",
  "state": "optimized geometry",
  "spacegroup": "P4/mmm",
  "ef_ev_per_atom": 1.416,
  "cell": [[4.9706, 0.0000, 0.0000], [0.0000, 4.9706, 0.0000], [0.0000, 0.0000, 5.0188]],
  "species": ["Na", "Nb", "Rh", "Rh", "Pb"],
  "frac_coords": [[0.0000, 0.0000, 0.0000], [0.5000, 0.5000, 0.0000], [0.0000, 0.5000, 0.5000], [0.5000, 0.0000, 0.5000], [0.0000, 0.0000, 0.5000]]
}

---

[24]
{
  "formula": "NaNbRu2Pb",
  "functional": "PBE",
  "state": "optimized geometry",
  "spacegroup": "P4/mmm",
  "ef_ev_per_atom": 1.977,
  "cell": [[4.6846, 0.0000, 0.0000], [0.0000, 4.6846, 0.0000], [0.0000, 0.0000, 4.8645]],
  "species": ["Na", "Nb", "Ru", "Ru", "Pb"],
  "frac_coords": [[0.0000, 0.0000, 0.0000], [0.0000, 0.0000, 0.5000], [0.0000, 0.5000, 0.0000], [0.5000, 0.0000, 0.0000], [0.5000, 0.5000, 0.5000]]
}

---

[25]
{
  "formula": "Na3NbPb2S6",
  "functional": "PBE",
  "state": "optimized geometry",
  "raw_formation_energy_mev_per_atom": -895,
  "spacegroup": "C2/m",
  "cell": [[3.5238, -6.1051, 0.0000], [3.5238, 6.1051, 0.0000], [-2.4047, 0.0000, 6.5065]],
  "species": ["Na", "Na", "Na", "Nb", "Pb", "Pb", "S", "S", "S", "S", "S", "S"],
  "frac_coords": [[0.0000, 0.0000, 0.0000], [0.3302, 0.6698, 0.0000], [0.6698, 0.3302, 0.0000], [0.5000, 0.5000, 0.5000], [0.1663, 0.8337, 0.5000], [0.8337, 0.1663, 0.5000], [0.1327, 0.4243, 0.2735], [0.2855, 0.2855, 0.7209], [0.4243, 0.1327, 0.2735], [0.5757, 0.8673, 0.7265], [0.7145, 0.7145, 0.2791], [0.8673, 0.5757, 0.7265]]
}

---

[26]
{
  "formula": "Na3NbPb2Se6",
  "functional": "PBE",
  "state": "optimized geometry",
  "raw_formation_energy_mev_per_atom": -823,
  "spacegroup": "C2/m",
  "cell": [[3.6646, -6.3461, 0.0000], [3.6646, 6.3461, 0.0000], [-2.5008, 0.0000, 6.7951]],
  "species": ["Na", "Na", "Na", "Nb", "Pb", "Pb", "Se", "Se", "Se", "Se", "Se", "Se"],
  "frac_coords": [[0.0000, 0.0000, 0.0000], [0.3250, 0.6750, 0.0000], [0.6750, 0.3250, 0.0000], [0.5000, 0.5000, 0.5000], [0.1653, 0.8347, 0.5000], [0.8347, 0.1653, 0.5000], [0.1289, 0.4241, 0.2721], [0.2848, 0.2848, 0.7254], [0.4241, 0.1289, 0.2721], [0.5759, 0.8711, 0.7279], [0.7152, 0.7152, 0.2746], [0.8711, 0.5759, 0.7279]]
}

---

Number 1: magnetic moment 0.38 μB/cell. Number 2: magnetic moment 0.00 μB/cell. Number 3: magnetic moment 3.52 μB/cell. Number 4: magnetic moment 0.00 μB/cell. Number 5: magnetic moment 5.42 μB/cell. Number 6: magnetic moment 0.00 μB/cell. Number 7: magnetic moment 0.00 μB/cell. Number 8: magnetic moment 0.00 μB/cell. Number 9: magnetic moment 5.44 μB/cell. Number 10: magnetic moment 0.00 μB/cell. Number 11: magnetic moment 0.00 μB/cell. Number 12: magnetic moment 0.80 μB/cell. Number 13: magnetic moment 5.87 μB/cell. Number 14: magnetic moment 0.00 μB/cell. Number 15: magnetic moment 3.98 μB/cell. Number 16: magnetic moment 4.59 μB/cell. Number 17: magnetic moment 4.00 μB/cell. Number 18: magnetic moment 0.00 μB/cell. Number 19: magnetic moment 0.00 μB/cell. Number 20: magnetic moment 0.00 μB/cell. Number 21: magnetic moment 0.00 μB/cell. Number 22: magnetic moment 7.73 μB/cell. Number 23: magnetic moment 3.17 μB/cell. Number 24: magnetic moment 2.85 μB/cell. Number 25: magnetic moment 0.00 μB/cell. Number 26: magnetic moment 0.00 μB/cell.